1.
Entry from Alexandria via LeMat-Bulk: a relaxed structure of Nd2DyAs3 (PBE).

Calculated values
Volume   26.64 A^3/atom
ΔH_f (0 K)   -1.509 eV/atom
Calculated density   7.0 g/cm³

abc: 9.442 9.442 9.442
angles: 154.14 154.14 36.89
Fractional positions:
Nd1 0.666 0.666 0.000
Nd2 0.334 0.334 0.000
Dy1 0.000 0.000 0.000
As1 0.500 0.500 0.000
As2 0.836 0.836 0.000
As3 0.164 0.164 0.000


2.
Entry from Alexandria via LeMat-Bulk: a relaxed structure of CsCrTc2P (PBE).

Calculated values
Volume   22.02 A^3/atom
ΔH_f (0 K)   1.869 eV/atom
Calculated density   6.2 g/cm³

abc: 4.518 5.393 4.518
angles: 90.00 90.00 90.00
Fractional positions:
Cs1 0.000 0.500 0.000
Cr1 0.000 0.000 0.000
Tc1 0.000 0.000 0.500
Tc2 0.500 0.000 0.000
P1 0.500 0.500 0.500


3.
Entry from Alexandria via LeMat-Bulk: a relaxed structure of Zn6Ni8Pt (PBE).

Calculated values
Volume   13.03 A^3/atom
ΔH_f (0 K)   -0.040 eV/atom
Calculated density   9.0 g/cm³

abc: 6.793 6.793 6.270
angles: 57.20 57.20 60.00
Fractional positions:
Zn1 0.388 0.119 0.852
Zn2 0.881 0.359 0.148
Zn3 0.359 0.612 0.148
Zn4 0.641 0.388 0.852
Zn5 0.119 0.641 0.852
Zn6 0.612 0.881 0.148
Ni1 0.583 0.161 0.374
Ni2 0.839 0.118 0.626
Ni3 0.118 0.417 0.626
Ni4 0.755 0.755 0.734
Ni5 0.245 0.245 0.266
Ni6 0.882 0.583 0.374
Ni7 0.161 0.882 0.374
Ni8 0.417 0.839 0.626
Pt1 0.000 0.000 0.000


4.
Entry from Alexandria via LeMat-Bulk: a relaxed structure of LiIn2Ag2 (PBE).

Calculated values
Volume   19.59 A^3/atom
ΔH_f (0 K)   -0.153 eV/atom
Calculated density   7.7 g/cm³
E above lowest polymorph   0.000 eV per atom

abc: 5.233 5.748 7.808
angles: 108.17 90.00 117.08
Fractional positions:
Li1 0.692 0.000 0.750
Li2 0.308 0.000 0.250
In1 0.519 0.371 0.643
In2 0.148 0.629 0.857
In3 0.481 0.629 0.357
In4 0.852 0.371 0.143
Ag1 0.731 0.799 0.048
Ag2 0.933 0.201 0.452
Ag3 0.269 0.201 0.952
Ag4 0.067 0.799 0.548


5.
Entry from Alexandria via LeMat-Bulk: a relaxed structure of AlRuC2 (PBE).

Calculated values
Volume   12.34 A^3/atom
ΔH_f (0 K)   0.540 eV/atom
Calculated density   5.1 g/cm³

abc: 4.633 4.633 5.645
angles: 65.77 65.77 90.00
Fractional positions:
Ru1 0.000 0.000 0.000
Ru2 0.750 0.250 0.500
C1 0.641 0.125 0.250
C2 0.109 0.625 0.250
C3 0.375 0.359 0.750
C4 0.875 0.891 0.750
Al1 0.500 0.500 0.000
Al2 0.250 0.750 0.500


6.
Entry from Alexandria via LeMat-Bulk: a relaxed structure of Pu8P4Se3 (PBE).

Calculated values
Volume   24.96 A^3/atom
Calculated density   10.3 g/cm³
E   -10.88 eV per atom

abc: 8.096 8.100 8.100
angles: 89.51 120.25 120.25
Last column: magnetic moment on the atom in μB.
Fractional positions:
Pu1 0.499 0.243 0.243  5.23
Pu2 0.000 0.749 0.251  5.20
Pu3 0.990 0.239 0.239  -5.08
Pu4 0.500 0.754 0.246  -5.07
Pu5 0.500 0.246 0.754  -5.07
Pu6 0.010 0.761 0.761  -5.08
Pu7 0.000 0.251 0.749  5.20
Pu8 0.501 0.757 0.757  5.23
P1 0.500 0.000 0.000  0.05
P2 0.000 0.500 0.000  0.05
P3 0.000 0.000 0.000  -0.03
P4 0.000 0.000 0.500  0.05
Se1 0.500 0.500 0.000  -0.04
Se2 0.500 0.000 0.500  -0.04
Se3 0.500 0.500 0.500  0.05


7.
Entry from Alexandria via LeMat-Bulk: a relaxed structure of Ba2SrAc2 (PBE).

Calculated values
Volume   52.40 A^3/atom
ΔH_f (0 K)   0.205 eV/atom
Calculated density   5.2 g/cm³
E above lowest polymorph   0.167 eV per atom

abc: 11.158 11.158 4.209
angles: 90.00 90.00 90.00
Fractional positions:
Ba1 0.169 0.669 0.000
Ba2 0.669 0.831 0.000
Ba3 0.831 0.331 0.000
Ba4 0.331 0.169 0.000
Sr1 0.000 0.000 0.000
Sr2 0.500 0.500 0.000
Ac1 0.372 0.872 0.500
Ac2 0.872 0.628 0.500
Ac3 0.628 0.128 0.500
Ac4 0.128 0.372 0.500


8.
Entry from Alexandria via LeMat-Bulk: a relaxed structure of AcTmMoN4 (PBE).

Calculated values
Volume   16.77 A^3/atom
Calculated density   7.8 g/cm³
E   -8.60 eV per atom

abc: 5.873 5.951 7.053
angles: 90.00 107.75 90.00
Fractional positions:
Ac1 0.732 0.750 0.939
Ac2 0.268 0.250 0.061
Tm1 0.816 0.750 0.469
Tm2 0.184 0.250 0.531
Mo1 0.268 0.750 0.329
Mo2 0.732 0.250 0.671
N1 0.954 0.492 0.719
N2 0.046 0.992 0.281
N3 0.046 0.508 0.281
N4 0.954 0.008 0.719
N5 0.466 0.750 0.166
N6 0.534 0.250 0.834
N7 0.470 0.750 0.582
N8 0.530 0.250 0.418


9.
Entry from Alexandria via LeMat-Bulk: a relaxed structure of Zr2Ag (PBE).

Calculated values
Volume   21.58 A^3/atom
ΔH_f (0 K)   0.045 eV/atom
Calculated density   7.4 g/cm³

abc: 5.596 5.596 5.596
angles: 103.33 103.33 122.60
Fractional positions:
Zr1 0.151 0.349 0.500
Zr2 0.349 0.849 0.198
Zr3 0.651 0.151 0.802
Zr4 0.849 0.651 0.500
Ag1 0.750 0.750 0.000
Ag2 0.250 0.250 0.000


10.
Entry from Alexandria via LeMat-Bulk: a relaxed structure of TbPm2Tm3Sb6 (PBE).

Calculated values
Volume   30.12 A^3/atom
Calculated density   7.7 g/cm³
E   -5.47 eV per atom

abc: 4.402 8.797 9.834
angles: 102.80 102.93 90.00
Fractional positions:
Tb1 0.500 0.000 0.000
Pm1 0.834 0.667 0.668
Pm2 0.166 0.333 0.332
Tm1 0.500 0.500 0.000
Tm2 0.833 0.166 0.665
Tm3 0.167 0.834 0.335
Sb1 0.333 0.924 0.665
Sb2 0.664 0.589 0.329
Sb3 0.667 0.076 0.335
Sb4 0.997 0.252 0.994
Sb5 0.003 0.748 0.006
Sb6 0.336 0.411 0.671


11.
Entry from Alexandria via LeMat-Bulk: a relaxed structure of Mg2ZnFeI (PBE).

Calculated values
Volume   25.50 A^3/atom
Calculated density   3.9 g/cm³
E above lowest polymorph   0.000 eV per atom

abc: 5.102 4.898 5.102
angles: 90.00 90.00 90.00
Last column: magnetic moment on the atom in μB.
Fractional positions:
I1 0.000 0.500 0.000  0.06
Zn1 0.500 0.500 0.500  -0.01
Mg1 0.000 0.000 0.500  -0.02
Mg2 0.500 0.000 0.000  -0.02
Fe1 0.000 0.000 0.000  1.62


12.
Entry from Alexandria via LeMat-Bulk: a relaxed structure of Tb5Te8 (PBE).

Calculated values
Volume   37.00 A^3/atom
Calculated density   6.3 g/cm³
E   -5.02 eV per atom

abc: 8.716 8.716 8.509
angles: 104.08 105.70 119.90
Fractional positions:
Tb1 0.000 0.000 0.000
Tb2 0.760 0.260 0.500
Tb3 0.240 0.740 0.500
Tb4 0.739 0.731 0.471
Tb5 0.261 0.269 0.529
Te1 0.295 0.973 0.268
Te2 0.705 0.027 0.732
Te3 0.791 0.453 0.244
Te4 0.209 0.547 0.756
Te5 0.799 0.970 0.250
Te6 0.720 0.549 0.750
Te7 0.280 0.451 0.250
Te8 0.201 0.030 0.750


| no. | N(E_F) (states/eV/cell) |
| --- | --- |
| 1 | 0.93 |
| 2 | 6.86 |
| 3 | 9.69 |
| 4 | 2.26 |
| 5 | 3.19 |
| 6 | 78.72 |
| 7 | 20.39 |
| 8 | 0.00 |
| 9 | 8.23 |
| 10 | 1.91 |
| 11 | 1.96 |
| 12 | 4.97 |